Version 1
Below is an optimized crystal structure of SmHgTe, with properties calculated at the PBE level.

Values from the calculation:
The total moment comes out at 0.028 μB per atom.

Cell lengths 5.1937, 5.1937, 5.1937 Å; angles 60.00, 60.00, 60.00 degrees
Atoms (fractional coordinates):
Sm 0.0000 0.0000 0.0000
Hg 0.7500 0.7500 0.7500
Te 0.2500 0.2500 0.2500

Version 2
Below is an optimized crystal structure of SmHgTe, with properties calculated at the PBE level.

Values from the calculation:
The total moment comes out at 0.000 μB per atom.

Cell lengths 5.2188, 5.2188, 5.2188 Å; angles 60.00, 60.00, 60.00 degrees
Atoms (fractional coordinates):
Sm 0.0000 0.0000 0.0000
Hg 0.5000 0.5000 0.5000
Te 0.7500 0.7500 0.7500

Winner for stability: version 1

Version 1
Below is an optimized crystal structure of SmHgW, with properties calculated at the PBE level.

Values from the calculation:
The total moment comes out at 1.007 μB per atom.

Cell lengths 4.8445, 4.8445, 4.8445 Å; angles 60.00, 60.00, 60.00 degrees
Atoms (fractional coordinates):
Sm 0.0000 0.0000 0.0000
Hg 0.5000 0.5000 0.5000
W 0.7500 0.7500 0.7500

Version 2
Below is an optimized crystal structure of SmHgW, with properties calculated at the PBE level.

Values from the calculation:
The total moment comes out at 0.997 μB per atom.

Cell lengths 4.9186, 4.9186, 4.9186 Å; angles 60.00, 60.00, 60.00 degrees
Atoms (fractional coordinates):
Sm 0.0000 0.0000 0.0000
Hg 0.7500 0.7500 0.7500
W 0.2500 0.2500 0.2500

Winner for stability: version 1

Version 1
Below is an optimized crystal structure of SmZrHg, with properties calculated at the PBE level.

Values from the calculation:
The total moment comes out at 0.420 μB per atom.

Cell lengths 4.9881, 4.9881, 4.9881 Å; angles 60.00, 60.00, 60.00 degrees
Atoms (fractional coordinates):
Sm 0.0000 0.0000 0.0000
Zr 0.5000 0.5000 0.5000
Hg 0.2500 0.2500 0.2500

Version 2
Below is an optimized crystal structure of SmZrHg, with properties calculated at the PBE level.

Values from the calculation:
The total moment comes out at 0.490 μB per atom.

Cell lengths 5.0181, 5.0181, 5.0181 Å; angles 60.00, 60.00, 60.00 degrees
Atoms (fractional coordinates):
Sm 0.0000 0.0000 0.0000
Zr 0.2500 0.2500 0.2500
Hg 0.7500 0.7500 0.7500

Winner for stability: version 1

Version 1
Below is an optimized crystal structure of Sn2Hg, with properties calculated at the PBE level.

Cell lengths 6.2192, 6.2192, 6.2192 Å; angles 60.00, 60.00, 60.00 degrees
Atoms (fractional coordinates):
Sn 0.0000 0.0000 0.0000
Sn 0.0000 0.0000 0.5000
Sn 0.0000 0.5000 0.0000
Sn 0.5000 0.0000 0.0000
Hg 0.3750 0.3750 0.3750
Hg 0.6250 0.6250 0.6250

Version 2
Below is an optimized crystal structure of Sn2Hg, with properties calculated at the PBE level.

Cell lengths 5.9614, 5.9614, 5.9614 Å; angles 105.72, 105.72, 117.27 degrees
Atoms (fractional coordinates):
Sn 0.1510 0.6510 0.8021
Sn 0.3490 0.1510 0.5000
Sn 0.6510 0.8490 0.5000
Sn 0.8490 0.3490 0.1979
Hg 0.2500 0.2500 0.0000
Hg 0.7500 0.7500 0.0000

Winner for stability: version 2

Version 1
Below is an optimized crystal structure of SnHg2, with properties calculated at the PBE level.

Cell lengths 4.2507, 4.2507, 5.1849 Å; angles 90.00, 90.00, 120.00 degrees
Atoms (fractional coordinates):
Sn 0.0000 0.0000 0.0000
Hg 0.3333 0.6667 0.3343
Hg 0.6667 0.3333 0.6657

Version 2
Below is an optimized crystal structure of SnHg2, with properties calculated at the PBE level.

Cell lengths 6.0449, 6.0449, 6.0449 Å; angles 60.00, 60.00, 60.00 degrees
Atoms (fractional coordinates):
Sn 0.1250 0.1250 0.1250
Sn 0.8750 0.8750 0.8750
Hg 0.0000 0.5000 0.5000
Hg 0.5000 0.0000 0.5000
Hg 0.5000 0.5000 0.0000
Hg 0.5000 0.5000 0.5000

Winner for stability: version 1

Version 1
Below is an optimized crystal structure of SnHgW, with properties calculated at the PBE level.

Values from the calculation:
The total moment comes out at 0.524 μB per atom.

Cell lengths 4.6290, 4.6290, 4.6290 Å; angles 60.00, 60.00, 60.00 degrees
Atoms (fractional coordinates):
Sn 0.0000 0.0000 0.0000
Hg 0.7500 0.7500 0.7500
W 0.2500 0.2500 0.2500

Version 2
Below is an optimized crystal structure of SnHgW, with properties calculated at the PBE level.

Values from the calculation:
The total moment comes out at 0.620 μB per atom.

Cell lengths 4.6623, 4.6623, 4.6623 Å; angles 60.00, 60.00, 60.00 degrees
Atoms (fractional coordinates):
Sn 0.0000 0.0000 0.0000
Hg 0.5000 0.5000 0.5000
W 0.7500 0.7500 0.7500

Winner for stability: version 2

Version 1
Below is an optimized crystal structure of SrTlHg, with properties calculated at the PBE level.

Cell lengths 6.4692, 6.4692, 8.0106 Å; angles 127.28, 127.28, 46.24 degrees
Atoms (fractional coordinates):
Sr 0.0378 0.0378 0.2930
Sr 0.9622 0.9622 0.7070
Tl 0.3344 0.3344 0.8914
Tl 0.6656 0.6656 0.1086
Hg 0.3375 0.3375 0.3043
Hg 0.6625 0.6625 0.6957

Version 2
Below is an optimized crystal structure of SrTlHg, with properties calculated at the PBE level.

Cell lengths 5.2441, 5.2441, 5.2441 Å; angles 60.00, 60.00, 60.00 degrees
Atoms (fractional coordinates):
Sr 0.0000 0.0000 0.0000
Tl 0.5000 0.5000 0.5000
Hg 0.2500 0.2500 0.2500

Winner for stability: version 1

Version 1
Below is an optimized crystal structure of Sr2YHg2, with properties calculated at the PBE level.

Values from the calculation:
The total moment comes out at 0.006 μB per atom.

Cell lengths 8.7035, 8.7035, 8.7035 Å; angles 148.48, 148.48, 45.18 degrees
Atoms (fractional coordinates):
Sr 0.1143 0.1143 0.0000
Sr 0.8857 0.8857 0.0000
Y 0.5000 0.5000 0.0000
Hg 0.2500 0.7500 0.5000
Hg 0.7500 0.2500 0.5000

Version 2
Below is an optimized crystal structure of Sr2YHg2, with properties calculated at the PBE level.

Values from the calculation:
The total moment comes out at 0.039 μB per atom.

Cell lengths 8.5406, 8.5406, 4.5428 Å; angles 90.00, 90.00, 90.00 degrees
Atoms (fractional coordinates):
Sr 0.1612 0.3388 0.0000
Sr 0.3388 0.8388 0.0000
Sr 0.6612 0.1612 0.0000
Sr 0.8388 0.6612 0.0000
Y 0.0000 0.0000 0.5000
Y 0.5000 0.5000 0.5000
Hg 0.1424 0.6424 0.5000
Hg 0.3576 0.1424 0.5000
Hg 0.6424 0.8576 0.5000
Hg 0.8576 0.3576 0.5000

Winner for stability: version 2